The following is a DFT calculation (PBE) of a geometry-optimized Sm8HgPt2 structure.

Geometry as POSCAR:
```
Sm8HgPt2
1.0
5.615 0.129 -0.895
-1.852 7.229 -3.198
0.124 -0.233 8.115
Sm Hg Pt
8 1 2
Direct
0.579 0.334 0.085 Sm
0.579 0.085 0.334 Sm
0.190 0.391 0.391 Sm
0.000 0.244 0.762 Sm
0.000 0.762 0.244 Sm
0.810 0.616 0.616 Sm
0.421 0.922 0.672 Sm
0.421 0.672 0.922 Sm
0.001 0.003 0.003 Hg
0.500 0.702 0.304 Pt
0.500 0.304 0.702 Pt
```

Calculated values
E_tot ... -54.97 eV/cell